No. 1
DFT (meta-GGA SCAN) results for MgAgHg at its PBEsol-relaxed geometry.

As for the excess energy over the best structure of this formula in the dataset: 0.0 meV/atom. The value obtained for the size of the total moment is 0.00 μB per formula unit. For the energy of formation, the calculation gives -237 meV per atom.

The space group is I4mm (No. 107) and the conventional cell measures 3.529, 3.529 and 8.997 Å, with angles of 90.00, 90.00 and 90.00 degrees. The inequivalent atoms are Mg at (0.000, 0.000, 0.000), Ag at (0.000, 0.000, 0.658) and Hg at (0.000, 0.000, 0.330).



No. 2
DFT (meta-GGA SCAN) results for TaSnSe2I at its PBEsol-relaxed geometry.

The value obtained for the size of the total moment is 0.00 μB per formula unit. The calculation puts the energy relative to the elements, uncorrected at 0.0772 eV/atom.

The space group is P4/mmm (No. 123) and the conventional cell measures 4.953, 4.953 and 5.553 Å, with angles of 90.00, 90.00 and 90.00 degrees. The inequivalent atoms are Ta at (0.000, 0.000, 0.000), Sn at (0.500, 0.500, 0.500), Se at (0.000, 0.500, 0.000) and I at (0.000, 0.000, 0.500).



No. 3
DFT (meta-GGA SCAN) results for HfCo at its PBEsol-relaxed geometry.

The value obtained for the size of the total moment is 1.00 μB per formula unit. For the energy of formation, the calculation gives -500 meV per atom.

The space group is Pm-3m (No. 221) and the conventional cell measures 3.107, 3.107 and 3.107 Å, with angles of 90.00, 90.00 and 90.00 degrees. The inequivalent atoms are Hf at (0.000, 0.000, 0.000) and Co at (0.500, 0.500, 0.500).



No. 4
DFT (meta-GGA SCAN) results for Ta2FeW at its PBEsol-relaxed geometry.

The value obtained for the size of the total moment is 1.70 μB per formula unit. For the energy of formation, the calculation gives -13 meV per atom.

The space group is Cmmm (No. 65) and the conventional cell measures 3.226, 4.448 and 8.549 Å, with angles of 90.00, 90.00 and 90.00 degrees. The inequivalent atoms are Ta at (0.000, 0.000, 0.233), Fe at (0.000, 0.500, 0.000) and W at (0.000, 0.500, 0.500).